La4SiRhBr2 | PBE-GGA | optimized geometry

Unit cell a=7.6346 b=4.2325 c=7.8918 alpha=90.00 beta=106.57 gamma=90.00
With the nearest neighbours (Å) after each atom.
Space group P2/m (No. 10)
Inequivalent atoms, fractional coordinates:
La1 0.2282 0.0000 0.2054 (multiplicity 2)  2 Rh 2.92, 1 Si 2.97
La2 0.2529 0.5000 0.7956 (multiplicity 2)  1 Rh 2.85, 2 Si 2.98
Si1 0.5000 0.0000 0.0000 (multiplicity 1)  6 La 2.97-2.98
Rh1 0.0000 0.5000 0.0000 (multiplicity 1)  6 La 2.85-2.92
Br1 0.0000 0.0000 0.5000 (multiplicity 1)  6 La 3.28-3.33
Br2 0.5000 0.5000 0.5000 (multiplicity 1)  6 La 3.38-3.39

Calculated values
Magnetization = 0.00 μB/cell
Formation energy from raw total energies = -1.1088 eV per atom